VASP calculation (PBE-GGA) on a relaxed structure of Cu5Pt6.

POSCAR file:
```
Cu5Pt6
1.0
7.7059 0.0000 -0.4563
3.8529 4.9566 -0.2281
2.0362 0.0000 4.0711
Cu Pt
5 6
Direct
0.7723 0.4554 0.5000
0.6338 0.7324 0.0000
0.3662 0.2676 0.0000
0.5000 0.0000 0.5000
0.2277 0.5446 0.5000
0.3382 0.7160 0.8606
0.9459 0.7160 0.1394
0.1966 0.0000 0.3610
0.6618 0.2840 0.1394
0.0541 0.2840 0.8606
0.8034 0.0000 0.6390
```

Output
- DFT formation energy (eV/atom) = -0.02
- uncorrected energy (eV per cell) = -56.9
- theoretical density (Mg/m³) = 15.44
- DOS at the Fermi energy (states/eV/cell) = 10.861
- energy above the lowest structure with this stoichiometry (eV per formula unit) = 1.12

=====

VASP calculation (PBE-GGA) on a relaxed structure of BeRh2.

POSCAR file:
```
BeRh2
1.0
-3.2179 4.5384 3.1832
0.6343 -4.8276 -4.1685
-0.8505 -2.7289 3.0310
Rh Be
4 2
Direct
0.4179 0.5821 0.2500
0.7211 0.2789 0.2500
0.5821 0.4179 0.7500
0.2789 0.7211 0.7500
0.9340 0.0660 0.7500
0.0660 0.9340 0.2500
```

Output
- DFT formation energy (eV/atom) = -0.34
- uncorrected energy (eV per cell) = -38.9
- theoretical density (Mg/m³) = 9.84
- DOS at the Fermi energy (states/eV/cell) = 8.493